(1)
KZrRh2 | PBE | optimized geometry

Lattice parameters (Å, degrees): 4.7648 4.7648 4.7648 60.00 60.00 60.00
Closest atoms and distances in Å follow each position.
Positions (direct):
K  0.0000  0.0000  0.0000  8 Rh 2.92
Zr  0.5000  0.5000  0.5000  8 Rh 2.92
Rh  0.2500  0.2500  0.2500  4 Zr 2.92, 4 K 2.92
Rh  0.7500  0.7500  0.7500  4 Zr 2.92, 4 K 2.92

The total magnetic moment is 0.0 μB per formula unit. Its space group is Fm-3m, No. 225. The total DFT energy (no corrections) is -5.863 eV per atom. For the density of states at the Fermi level, the calculation gives 2.15 states/eV per cell. Its formation energy is 224 meV per atom. For the polymorph energy (0 for the lowest one), the calculation gives 1.78 eV per formula unit.


(2)
SrFe3Ir | PBE | optimized geometry

Lattice parameters (Å, degrees): 4.5241 4.5241 4.5241 90.00 90.00 90.00
Closest atoms and distances in Å follow each position.
Positions (direct):
Sr  0.0000  0.0000  0.0000  6 Fe 2.26
Fe  0.0000  0.0000  0.5000  2 Sr 2.26
Fe  0.0000  0.5000  0.0000  2 Sr 2.26
Fe  0.5000  0.0000  0.0000  2 Sr 2.26
Ir  0.5000  0.5000  0.5000  12 Fe 3.20

The total magnetic moment is 8.3 μB per formula unit. Its space group is Pm-3m, No. 221. The total DFT energy (no corrections) is -4.711 eV per atom. For the density of states at the Fermi level, the calculation gives 7.86 states/eV per cell. Its formation energy is 2476 meV per atom. For the polymorph energy (0 for the lowest one), the calculation gives 9.02 eV per formula unit.


(3)
Sm8Y6Ho | PBE | optimized geometry

Lattice parameters (Å, degrees): 9.4273 9.4273 6.5485 90.00 90.00 120.00
Closest atoms and distances in Å follow each position.
Positions (direct):
Sm  0.0361  0.7530  0.3333  3 Sm 3.30-3.33, 4 Y 3.31-3.59, 1 Ho 3.33
Sm  0.2470  0.2831  0.3333  3 Sm 3.30-3.33, 4 Y 3.31-3.59, 1 Ho 3.33
Sm  0.2831  0.0361  0.6667  3 Sm 3.30-3.33, 4 Y 3.31-3.59, 1 Ho 3.33
Sm  0.3333  0.6667  0.3753  3 Sm 3.30
Sm  0.6667  0.3333  0.6247  3 Sm 3.30
Sm  0.7169  0.9639  0.3333  3 Sm 3.30-3.33, 4 Y 3.31-3.59, 1 Ho 3.33
Sm  0.7530  0.7169  0.6667  3 Sm 3.30-3.33, 4 Y 3.31-3.59, 1 Ho 3.33
Sm  0.9639  0.2470  0.6667  3 Sm 3.30-3.33, 4 Y 3.31-3.59, 1 Ho 3.33
Y  0.0926  0.6549  0.8393  1 Y 3.30, 4 Sm 3.31-3.59
Y  0.3451  0.4376  0.8393  1 Y 3.30, 4 Sm 3.31-3.59
Y  0.4376  0.0926  0.1607  1 Y 3.30, 4 Sm 3.31-3.59
Y  0.5624  0.9074  0.8393  1 Y 3.30, 4 Sm 3.31-3.59
Y  0.6549  0.5624  0.1607  1 Y 3.30, 4 Sm 3.31-3.59
Y  0.9074  0.3451  0.1607  1 Y 3.30, 4 Sm 3.31-3.59
Ho  0.0000  0.0000  0.0000  6 Sm 3.33

The total magnetic moment is 0.0 μB per formula unit. Its space group is P-3, No. 147. The total DFT energy (no corrections) is -5.238 eV per atom. For the density of states at the Fermi level, the calculation gives 24.35 states/eV per cell. Its formation energy is 170 meV per atom. For the polymorph energy (0 for the lowest one), the calculation gives 0.80 eV per formula unit.


(4)
TiHgOs2Se | PBE | optimized geometry

Lattice parameters (Å, degrees): 4.6323 4.6323 5.1063 90.00 90.00 90.00
Closest atoms and distances in Å follow each position.
Positions (direct):
Ti  0.0000  0.0000  0.0000  4 Os 2.32, 2 Hg 2.55
Hg  0.0000  0.0000  0.5000  2 Ti 2.55
Os  0.0000  0.5000  0.0000  2 Ti 2.32
Os  0.5000  0.0000  0.0000  2 Ti 2.32
Se  0.5000  0.5000  0.5000  4 Hg 3.28, 8 Os 3.45

The total magnetic moment is 1.3 μB per formula unit. Its space group is P4/mmm, No. 123. The total DFT energy (no corrections) is -5.161 eV per atom. As for the energy relative to the elements, uncorrected: 1667 meV/atom. For the density of states at the Fermi level, the calculation gives 6.25 states/eV per cell.


(5)
Dy12Er7Zr | PBE | optimized geometry

Lattice parameters (Å, degrees): 8.6244 8.6244 8.6244 90.92 90.92 90.92
Closest atoms and distances in Å follow each position.
Positions (direct):
Dy  0.1233  0.3570  0.4492  8 Dy 3.40-3.76, 2 Er 3.41-3.48
Dy  0.2236  0.7655  0.3674  5 Er 3.42-3.52, 7 Dy 3.56-3.76
Dy  0.2345  0.6326  0.7764  5 Er 3.42-3.52, 7 Dy 3.56-3.76
Dy  0.3570  0.4492  0.1233  8 Dy 3.40-3.76, 2 Er 3.41-3.48
Dy  0.3674  0.2236  0.7655  5 Er 3.42-3.52, 7 Dy 3.56-3.76
Dy  0.4492  0.1233  0.3570  8 Dy 3.40-3.76, 2 Er 3.41-3.48
Dy  0.5508  0.8767  0.6430  8 Dy 3.40-3.76, 2 Er 3.41-3.48
Dy  0.6326  0.7764  0.2345  5 Er 3.42-3.52, 7 Dy 3.56-3.76
Dy  0.6430  0.5508  0.8767  8 Dy 3.40-3.76, 2 Er 3.41-3.48
Dy  0.7655  0.3674  0.2236  5 Er 3.42-3.52, 7 Dy 3.56-3.76
Dy  0.7764  0.2345  0.6326  5 Er 3.42-3.52, 7 Dy 3.56-3.76
Dy  0.8767  0.6430  0.5508  8 Dy 3.40-3.76, 2 Er 3.41-3.48
Er  0.0261  0.3314  0.9312  1 Zr 2.93, 1 Er 3.16
Er  0.0688  0.9739  0.6686  1 Zr 2.93, 1 Er 3.16
Er  0.3314  0.9312  0.0261  1 Zr 2.93, 1 Er 3.16
Er  0.5000  0.5000  0.5000  12 Dy 3.48-3.52
Er  0.6686  0.0688  0.9739  1 Zr 2.93, 1 Er 3.16
Er  0.9312  0.0261  0.3314  1 Zr 2.93, 1 Er 3.16
Er  0.9739  0.6686  0.0688  1 Zr 2.93, 1 Er 3.16
Zr  0.0000  0.0000  0.0000  6 Er 2.93

The total magnetic moment is 1.1 μB per formula unit. Its space group is R-3, No. 148. The total DFT energy (no corrections) is -4.520 eV per atom. For the density of states at the Fermi level, the calculation gives 38.48 states/eV per cell. Its formation energy is 265 meV per atom. For the polymorph energy (0 for the lowest one), the calculation gives 0.00 eV per formula unit.


(6)
Li2Sn4Rh | PBE | optimized geometry

Lattice parameters (Å, degrees): 7.8024 7.8024 7.8024 141.69 141.69 55.29
Closest atoms and distances in Å follow each position.
Positions (direct):
Li  0.1130  0.1130  0.0000  1 Sn 2.64
Li  0.8870  0.8870  0.0000  1 Sn 2.64
Sn  0.0000  0.5000  0.5000  2 Rh 2.56
Sn  0.3042  0.3042  0.0000  1 Li 2.64, 1 Rh 2.71
Sn  0.5000  0.0000  0.5000  2 Rh 2.56
Sn  0.6958  0.6958  0.0000  1 Li 2.64, 1 Rh 2.71
Rh  0.5000  0.5000  0.0000  6 Sn 2.56-2.71

The total magnetic moment is 0.0 μB per formula unit. Its space group is I4/mmm, No. 139. The total DFT energy (no corrections) is -3.915 eV per atom. For the density of states at the Fermi level, the calculation gives 2.65 states/eV per cell. Its formation energy is -31 meV per atom.


(7)
IrAuSe2 | PBE | optimized geometry

Lattice parameters (Å, degrees): 7.6802 3.7411 13.0859 90.00 90.00 90.00
Closest atoms and distances in Å follow each position.
Positions (direct):
Ir  0.0540  0.2500  0.1132  5 Se 2.46-2.47
Ir  0.4460  0.7500  0.6132  5 Se 2.46-2.47
Ir  0.5540  0.2500  0.3868  5 Se 2.46-2.47
Ir  0.9460  0.7500  0.8868  5 Se 2.46-2.47
Au  0.0342  0.7500  0.4152  2 Se 2.47-2.50
Au  0.4658  0.2500  0.9152  2 Se 2.47-2.50
Au  0.5342  0.7500  0.0848  2 Se 2.47-2.50
Au  0.9658  0.2500  0.5848  2 Se 2.47-2.50
Se  0.1417  0.2500  0.9326  3 Ir 2.46-2.47, 1 Au 2.50
Se  0.2440  0.7500  0.1668  1 Au 2.47, 2 Ir 2.47
Se  0.2560  0.2500  0.6668  1 Au 2.47, 2 Ir 2.47
Se  0.3583  0.7500  0.4326  3 Ir 2.46-2.47, 1 Au 2.50
Se  0.6417  0.2500  0.5674  3 Ir 2.46-2.47, 1 Au 2.50
Se  0.7440  0.7500  0.3332  1 Au 2.47, 2 Ir 2.47
Se  0.7560  0.2500  0.8332  1 Au 2.47, 2 Ir 2.47
Se  0.8583  0.7500  0.0674  3 Ir 2.46-2.47, 1 Au 2.50

The total magnetic moment is 0.0 μB per formula unit. Its space group is Pnma, No. 62. The total DFT energy (no corrections) is -4.794 eV per atom. As for the energy relative to the elements, uncorrected: -17 meV/atom. For the density of states at the Fermi level, the calculation gives 0.01 states/eV per cell.